# 1
The following is a DFT calculation (PBE) of a geometry-optimized ErThReTc structure.

Cell and atoms, written as CIF:
```
data_ErThReTc
_cell_length_a 6.940
_cell_length_b 6.940
_cell_length_c 6.940
_cell_angle_alpha 90.00
_cell_angle_beta 90.00
_cell_angle_gamma 90.00
_space_group_name_H-M_alt 'F -4 3 m'
_space_group_IT_number 216
_space_group_name_Hall 'F -4 2 3'
loop_
_atom_site_label
_atom_site_fract_x
_atom_site_fract_y
_atom_site_fract_z
Er1 0.000 0.000 0.000
Th1 0.000 0.000 0.500
Re1 0.250 0.250 0.250
Tc1 0.250 0.250 0.750
```

Values from the calculation:
ΔE_f = 0.0905 eV/atom



# 2
The following is a DFT calculation (PBE) of a geometry-optimized ErReTe structure.

Cell and atoms, written as CIF:
```
data_ErReTe
_cell_length_a 3.918
_cell_length_b 5.617
_cell_length_c 7.771
_cell_angle_alpha 83.98
_cell_angle_beta 79.99
_cell_angle_gamma 69.60
_space_group_name_H-M_alt 'P -1'
_space_group_IT_number 2
loop_
_space_group_symop_operation_xyz
'x,y,z'
'-x,-y,-z'
loop_
_atom_site_label
_atom_site_fract_x
_atom_site_fract_y
_atom_site_fract_z
Er1 0.003 0.173 0.259
Re1 0.228 0.576 0.417
Te1 0.243 0.246 0.843
```

Values from the calculation:
Formation energy without anion corrections = -0.253 eV per atom



# 3
The following is a DFT calculation (PBE) of a geometry-optimized Er2ThRe structure.

Cell and atoms, written as CIF:
```
data_Er2ThRe
_cell_length_a 3.2464
_cell_length_b 3.2464
_cell_length_c 33.5964
_cell_angle_alpha 90.00
_cell_angle_beta 90.00
_cell_angle_gamma 120.00
_space_group_name_H-M_alt 'R -3 m'
_space_group_IT_number 166
_space_group_name_Hall '-R 3 2"'
loop_
_atom_site_label
_atom_site_fract_x
_atom_site_fract_y
_atom_site_fract_z
Er1 0.0000 0.0000 0.0794
Th1 0.0000 0.0000 0.5000
Re1 0.0000 0.0000 0.0000
```

Values from the calculation:
ΔE_f = 0.7732 eV/atom



# 4
The following is a DFT calculation (PBE) of a geometry-optimized ErThRe structure.

Cell and atoms, written as CIF:
```
data_ErThRe
_cell_length_a 6.2590
_cell_length_b 6.2590
_cell_length_c 40.1159
_cell_angle_alpha 90.00
_cell_angle_beta 90.00
_cell_angle_gamma 120.00
_space_group_name_H-M_alt 'R -3 m'
_space_group_IT_number 166
_space_group_name_Hall '-R 3 2"'
loop_
_atom_site_label
_atom_site_fract_x
_atom_site_fract_y
_atom_site_fract_z
Er1 0.0000 0.0000 0.0355
Er2 0.0000 0.0000 0.1830
Er3 0.0000 0.0000 0.2769
Th1 0.0020 0.5010 0.2245
Re1 0.0000 0.0000 0.3785
Re2 0.0000 0.0000 0.5000
Re3 0.0000 0.5000 0.0000
```

Values from the calculation:
ΔE_f = 0.2783 eV/atom
Polymorph energy (0 for the lowest one) = 5.34 kcal/mol of atoms



# 5
The following is a DFT calculation (PBE) of a geometry-optimized ErThRe structure.

Cell and atoms, written as CIF:
```
data_ErThRe
_cell_length_a 3.468
_cell_length_b 3.468
_cell_length_c 13.178
_cell_angle_alpha 90.00
_cell_angle_beta 90.00
_cell_angle_gamma 90.00
_space_group_name_H-M_alt 'I 4 m m'
_space_group_IT_number 107
_space_group_name_Hall 'I 4 -2'
loop_
_atom_site_label
_atom_site_fract_x
_atom_site_fract_y
_atom_site_fract_z
Er1 0.000 0.000 0.000
Th1 0.000 0.000 0.257
Re1 0.000 0.000 0.631
```

Values from the calculation:
ΔE_f = 0.0466 eV/atom
Polymorph energy (0 for the lowest one) = 0.00 kcal/mol of atoms



# 6
The following is a DFT calculation (PBE) of a geometry-optimized ErThZnRe structure.

Cell and atoms, written as CIF:
```
data_ErThZnRe
_cell_length_a 7.093
_cell_length_b 7.093
_cell_length_c 7.093
_cell_angle_alpha 90.00
_cell_angle_beta 90.00
_cell_angle_gamma 90.00
_space_group_name_H-M_alt 'F -4 3 m'
_space_group_IT_number 216
_space_group_name_Hall 'F -4 2 3'
loop_
_atom_site_label
_atom_site_fract_x
_atom_site_fract_y
_atom_site_fract_z
Er1 0.000 0.000 0.000
Th1 0.000 0.000 0.500
Zn1 0.250 0.250 0.250
Re1 0.250 0.250 0.750
```

Values from the calculation:
ΔE_f = -0.0503 eV/atom



# 7
The following is a DFT calculation (PBE) of a geometry-optimized ErTi2Re structure.

Cell and atoms, written as CIF:
```
data_ErTi2Re
_cell_length_a 3.190
_cell_length_b 3.190
_cell_length_c 7.568
_cell_angle_alpha 90.00
_cell_angle_beta 90.00
_cell_angle_gamma 90.00
_space_group_name_H-M_alt 'P 4/m m m'
_space_group_IT_number 123
_space_group_name_Hall '-P 4 2'
loop_
_atom_site_label
_atom_site_fract_x
_atom_site_fract_y
_atom_site_fract_z
Er1 0.000 0.000 0.000
Ti1 0.500 0.500 0.311
Re1 0.000 0.000 0.500
```

Values from the calculation:
ΔE_f = -0.0806 eV/atom



# 8
The following is a DFT calculation (PBE) of a geometry-optimized Er4TlRe structure.

Cell and atoms, written as CIF:
```
data_Er4TlRe
_cell_length_a 8.683
_cell_length_b 12.960
_cell_length_c 6.152
_cell_angle_alpha 90.00
_cell_angle_beta 107.06
_cell_angle_gamma 90.00
_space_group_name_H-M_alt 'C 1 2/c 1'
_space_group_IT_number 15
loop_
_space_group_symop_operation_xyz
'x,y,z'
'-x,-y,-z'
'-x,y,-z+1/2'
'x,-y,z+1/2'
'x+1/2,y+1/2,z'
'-x+1/2,-y+1/2,-z'
'-x+1/2,y+1/2,-z+1/2'
'x+1/2,-y+1/2,z+1/2'
loop_
_atom_site_label
_atom_site_fract_x
_atom_site_fract_y
_atom_site_fract_z
Er1 0.107 0.169 0.047
Er2 0.225 0.423 0.392
Tl1 0.000 0.374 0.750
Re1 0.000 0.000 0.250
```

Values from the calculation:
ΔE_f = -0.1822 eV/atom



# 9
The following is a DFT calculation (PBE) of a geometry-optimized Er8Tl2Re structure.

Cell and atoms, written as CIF:
```
data_Er8Tl2Re
_cell_length_a 17.539
_cell_length_b 5.308
_cell_length_c 7.006
_cell_angle_alpha 90.00
_cell_angle_beta 111.68
_cell_angle_gamma 90.00
_space_group_name_H-M_alt 'C 1 2/m 1'
_space_group_IT_number 12
loop_
_space_group_symop_operation_xyz
'x,y,z'
'-x,-y,-z'
'-x,y,-z'
'x,-y,z'
'x+1/2,y+1/2,z'
'-x+1/2,-y+1/2,-z'
'-x+1/2,y+1/2,-z'
'x+1/2,-y+1/2,z'
loop_
_atom_site_label
_atom_site_fract_x
_atom_site_fract_y
_atom_site_fract_z
Er1 0.015 0.000 0.288
Er2 0.094 0.500 0.918
Er3 0.148 0.500 0.437
Er4 0.194 0.000 0.771
Tl1 0.181 0.000 0.196
Re1 0.000 0.500 0.500
```

Values from the calculation:
ΔE_f = -0.1252 eV/atom



# 10
The following is a DFT calculation (PBE) of a geometry-optimized ErURe2 structure.

Cell and atoms, written as CIF:
```
data_ErURe2
_cell_length_a 3.3751
_cell_length_b 3.3751
_cell_length_c 24.8631
_cell_angle_alpha 90.00
_cell_angle_beta 90.00
_cell_angle_gamma 120.00
_space_group_name_H-M_alt 'R -3 m'
_space_group_IT_number 166
_space_group_name_Hall '-R 3 2"'
loop_
_atom_site_label
_atom_site_fract_x
_atom_site_fract_y
_atom_site_fract_z
Er1 0.0000 0.0000 0.0000
U1 0.0000 0.0000 0.5000
Re1 0.0000 0.0000 0.2392
```

Values from the calculation:
ΔE_f = 0.3879 eV/atom



# 11
The following is a DFT calculation (PBE) of a geometry-optimized ErURe4 structure.

Cell and atoms, written as CIF:
```
data_ErURe4
_cell_length_a 7.641
_cell_length_b 7.641
_cell_length_c 7.641
_cell_angle_alpha 90.00
_cell_angle_beta 90.00
_cell_angle_gamma 90.00
_space_group_name_H-M_alt 'F -4 3 m'
_space_group_IT_number 216
_space_group_name_Hall 'F -4 2 3'
loop_
_atom_site_label
_atom_site_fract_x
_atom_site_fract_y
_atom_site_fract_z
Er1 0.000 0.000 0.000
U1 0.250 0.250 0.250
Re1 0.125 0.125 0.625
```

Values from the calculation:
ΔE_f = -0.0173 eV/atom



# 12
The following is a DFT calculation (PBE) of a geometry-optimized ErURe structure.

Cell and atoms, written as CIF:
```
data_ErURe
_cell_length_a 3.449
_cell_length_b 3.449
_cell_length_c 10.945
_cell_angle_alpha 90.00
_cell_angle_beta 90.00
_cell_angle_gamma 90.00
_space_group_name_H-M_alt 'I 4 m m'
_space_group_IT_number 107
_space_group_name_Hall 'I 4 -2'
loop_
_atom_site_label
_atom_site_fract_x
_atom_site_fract_y
_atom_site_fract_z
Er1 0.000 0.000 0.000
U1 0.000 0.000 0.700
Re1 0.000 0.000 0.313
```

Values from the calculation:
ΔE_f = 0.1439 eV/atom
Polymorph energy (0 for the lowest one) = 0.00 kcal/mol of atoms



Volume values, unit Å³/cell, following the record order: 334.2, 157.7, 306.6, 1361.0, 158.5, 356.9, 77.0, 661.8, 606.0, 245.3, 446.1, 130.2.
Fermi-level density of states values, unit states/eV/atom, following the record order: 1.19, 0.58, 0.76, 0.95, 0.66, 1.43, 1.27, 0.97, 0.88, 1.34, 2.11, 1.37.
Total magnetization values, unit μB per formula unit, following the record order: 0.0, 0.0, 0.2, 0.0, 0.0, 0.0, 0.0, 0.0, 0.0, 0.0, 2.3, 0.2.